Entry from Alexandria: a relaxed structure of Cr2InCo (GGA-PBE).

Calculated values
VASP energy ... -27.718 eV per cell
SG ... No. 12
Magnetic moment ... 0.082 μB per atom

Cell: 4.7782 4.7782 4.3852 Å, 105.44 105.44 35.50°
With the nearest neighbours (Å) after each atom.
Positions (direct):
Cr  0.2342  0.2342  0.1762  2 Cr 2.20
Cr  0.7658  0.7658  0.8238  2 Cr 2.20
In  0.0000  0.0000  0.5000  4 Co 2.63, 6 Cr 2.84-2.87, 2 In 2.91
Co  0.5000  0.5000  0.0000  6 Cr 2.52-2.74, 4 In 2.63

=====

Entry from Alexandria: a relaxed structure of Cr2In2Co (GGA-PBE).

Calculated values
VASP energy ... -56.429 eV per cell
SG ... No. 127
Magnetic moment ... 0.521 μB per atom

Cell: 7.5980 7.5980 2.9571 Å, 90.00 90.00 90.00°
With the nearest neighbours (Å) after each atom.
Positions (direct):
Cr  0.0939  0.4061  0.0000  1 Cr 2.02
Cr  0.4061  0.9061  0.0000  1 Cr 2.02
Cr  0.5939  0.0939  0.0000  1 Cr 2.02
Cr  0.9061  0.5939  0.0000  1 Cr 2.02
In  0.1958  0.6958  0.5000  6 Cr 2.70-2.76, 2 Co 2.75, 2 In 2.96
In  0.3042  0.1958  0.5000  6 Cr 2.70-2.76, 2 Co 2.75, 2 In 2.96
In  0.6958  0.8042  0.5000  6 Cr 2.70-2.76, 2 Co 2.75, 2 In 2.96
In  0.8042  0.3042  0.5000  6 Cr 2.70-2.76, 2 Co 2.75, 2 In 2.96
Co  0.0000  0.0000  0.5000  4 In 2.75, 2 Co 2.96
Co  0.5000  0.5000  0.5000  4 In 2.75, 2 Co 2.96

=====

Entry from Alexandria: a relaxed structure of Cr2InCo (GGA-PBE).

Calculated values
VASP energy ... -52.241 eV per cell
SG ... No. 122
Magnetic moment ... 0.496 μB per atom

Cell: 5.4943 5.4943 5.4943 Å, 102.21 102.21 125.23°
With the nearest neighbours (Å) after each atom.
Positions (direct):
Cr  0.0651  0.6250  0.9401  2 Co 2.26
Cr  0.3750  0.3151  0.4401  2 Co 2.26
Cr  0.6849  0.1250  0.0599  2 Co 2.26
Cr  0.8750  0.9349  0.5599  2 Co 2.26
In  0.2500  0.7500  0.5000  2 Co 2.53, 4 Cr 2.82
In  0.5000  0.5000  0.0000  2 Co 2.53, 4 Cr 2.82
Co  0.0000  0.0000  0.0000  4 Cr 2.26, 2 In 2.53
Co  0.7500  0.2500  0.5000  4 Cr 2.26, 2 In 2.53